(1)
First-principles (GGA-PBE) data for crystalline NbTeHOsO at its relaxed geometry, as listed in the Alexandria database.

Properties
DOS at the Fermi energy   0.6 states/eV/f.u.
Energy relative to the lowest polymorph listed for this composition   278 meV per atom
Calculated volume   15.279 A^3/atom
Size of the total moment   0.00 μB/cell
Space group   Cm, No. 8

Cell and atoms, written as POSCAR:
```
NbTeHOsO
1.0
4.6276 -1.5560 0.0000
4.6276 1.5560 0.0000
-4.1409 0.0000 5.3051
Nb Te H Os O
1 1 1 1 1
Direct
0.0000 0.0000 0.0000
0.5733 0.5733 0.4168
0.2517 0.2517 0.2723
0.3684 0.3684 0.5894
0.6207 0.6207 0.9344
```



(2)
First-principles (GGA-PBE) data for crystalline NbTeHOsO at its relaxed geometry, as listed in the Alexandria database.

Properties
DOS at the Fermi energy   0.3 states/eV/f.u.
Energy relative to the lowest polymorph listed for this composition   99 meV per atom
Calculated volume   16.678 A^3/atom
Size of the total moment   0.00 μB/cell
Space group   P1, No. 1

Cell and atoms, written as POSCAR:
```
NbTeHOsO
1.0
3.9764 0.0000 0.0000
1.8540 3.6477 0.0000
0.0793 0.9405 5.7492
Nb Te H Os O
1 1 1 1 1
Direct
0.0000 0.0000 0.0000
0.9539 0.0823 0.5073
0.3965 0.4575 0.8961
0.6743 0.6339 0.7808
0.5424 0.9030 0.0724
```



(3)
First-principles (GGA-PBE) data for crystalline NbTeHOsO at its relaxed geometry, as listed in the Alexandria database.

Properties
Energy relative to the lowest polymorph listed for this composition   58 meV per atom
Calculated volume   18.386 A^3/atom
Size of the total moment   0.00 μB/cell
Space group   P1, No. 1

Cell and atoms, written as POSCAR:
```
NbTeHOsO
1.0
3.1537 0.0000 0.0000
1.5705 3.6620 0.0000
0.8566 1.3199 7.9602
Nb Te H Os O
1 1 1 1 1
Direct
0.0000 0.0000 0.0000
0.0014 0.7653 0.4272
0.5028 0.9062 0.1623
0.7187 0.4474 0.2112
0.4988 0.0826 0.8539
```



(4)
First-principles (GGA-PBE) data for crystalline NbTeHOsO at its relaxed geometry, as listed in the Alexandria database.

Properties
DOS at the Fermi energy   0.2 states/eV/f.u.
Energy relative to the lowest polymorph listed for this composition   130 meV per atom
Calculated volume   17.949 A^3/atom
Size of the total moment   0.00 μB/cell
Space group   P1, No. 1

Cell and atoms, written as POSCAR:
```
NbTeHOsO
1.0
3.1432 0.0000 0.0000
-1.5505 4.2103 0.0000
-1.4064 -1.5491 6.7817
Nb Te H Os O
1 1 1 1 1
Direct
0.0000 0.0000 0.0000
0.8151 0.2594 0.3965
0.5663 0.7344 0.4511
0.4087 0.6148 0.2134
0.4107 0.9717 0.8307
```



(5)
First-principles (GGA-PBE) data for crystalline NbTeHOsO at its relaxed geometry, as listed in the Alexandria database.

Properties
Energy relative to the lowest polymorph listed for this composition   132 meV per atom
Calculated volume   16.297 A^3/atom
Size of the total moment   0.00 μB/cell
Space group   P1, No. 1

Cell and atoms, written as POSCAR:
```
NbTeHOsO
1.0
3.6863 0.0000 0.0000
-0.9344 4.1888 0.0000
-1.7891 -1.0419 5.2772
Nb Te H Os O
1 1 1 1 1
Direct
0.0000 0.0000 0.0000
0.3360 0.1111 0.6048
0.7305 0.4204 0.2676
0.3071 0.5120 0.2753
0.4580 0.8049 0.0415
```



(6)
First-principles (GGA-PBE) data for crystalline NbTeHOsO at its relaxed geometry, as listed in the Alexandria database.

Properties
DOS at the Fermi energy   0.4 states/eV/f.u.
Energy relative to the lowest polymorph listed for this composition   286 meV per atom
Calculated volume   16.828 A^3/atom
Size of the total moment   0.00 μB/cell
Space group   Cm, No. 8

Cell and atoms, written as POSCAR:
```
NbTeHOsO
1.0
3.6062 -2.0306 0.0000
3.6062 2.0306 0.0000
-0.6749 0.0000 5.7450
Nb Te H Os O
1 1 1 1 1
Direct
0.0000 0.0000 0.0000
0.0430 0.0430 0.4794
0.3738 0.3738 0.5111
0.3307 0.3307 0.2260
0.4640 0.4640 0.9311
```



(7)
First-principles (GGA-PBE) data for crystalline NbTeHOsO at its relaxed geometry, as listed in the Alexandria database.

Properties
Energy relative to the lowest polymorph listed for this composition   186 meV per atom
Calculated volume   17.789 A^3/atom
Size of the total moment   0.00 μB/cell
Space group   Cm, No. 8

Cell and atoms, written as POSCAR:
```
NbTeHOsO
1.0
3.6477 -1.5552 0.0000
3.6477 1.5552 0.0000
-3.4079 0.0000 7.8398
Nb Te H Os O
1 1 1 1 1
Direct
0.0000 0.0000 0.0000
0.3963 0.3963 0.5569
0.4996 0.4996 0.4076
0.1512 0.1512 0.7975
0.5923 0.5923 0.1520
```



(8)
First-principles (GGA-PBE) data for crystalline NbP2HO at its relaxed geometry, as listed in the Alexandria database.

Properties
DOS at the Fermi energy   3.6 states/eV/f.u.
Energy relative to the lowest polymorph listed for this composition   0 meV per atom
Calculated volume   10.753 A^3/atom
Size of the total moment   0.38 μB/cell
Space group   P4/mmm, No. 123

Cell and atoms, written as POSCAR:
```
NbP2HO
1.0
3.3765 0.0000 0.0000
0.0000 3.3765 0.0000
0.0000 0.0000 4.7159
Nb P H O
1 2 1 1
Direct
0.0000 0.0000 0.0000
0.0000 0.5000 0.5000
0.5000 0.0000 0.5000
0.5000 0.5000 0.5000
0.5000 0.5000 0.0000
```



(9)
First-principles (GGA-PBE) data for crystalline NbPHO2 at its relaxed geometry, as listed in the Alexandria database.

Properties
DOS at the Fermi energy   3.1 states/eV/f.u.
Energy relative to the lowest polymorph listed for this composition   578 meV per atom
Calculated volume   9.350 A^3/atom
Size of the total moment   0.00 μB/cell
Space group   P4/mmm, No. 123

Cell and atoms, written as POSCAR:
```
NbPHO2
1.0
3.9482 0.0000 0.0000
0.0000 3.9482 0.0000
0.0000 0.0000 2.9991
Nb P H O
1 1 1 2
Direct
0.0000 0.0000 0.0000
0.5000 0.5000 0.0000
0.5000 0.5000 0.5000
0.0000 0.5000 0.5000
0.5000 0.0000 0.5000
```



(10)
First-principles (GGA-PBE) data for crystalline Nb2P4H3O16 at its relaxed geometry, as listed in the Alexandria database.

Properties
DOS at the Fermi energy   5.6 states/eV/f.u.
Calculated volume   12.062 A^3/atom
Total energy   -7.30 eV per atom
Size of the total moment   1.05 μB/cell
Space group   P1, No. 1

Cell and atoms, written as POSCAR:
```
Nb2P4H3O16
1.0
5.0890 0.0000 0.0000
-1.9352 7.1151 0.0000
-0.2011 -0.0803 8.3283
Nb P H O
2 4 3 16
Direct
0.0000 0.0000 0.0000
0.4983 0.5037 0.4961
0.1246 0.7744 0.6509
0.3832 0.7248 0.1444
0.6111 0.2727 0.8477
0.8722 0.2315 0.3435
0.3496 0.0705 0.5985
0.6429 0.9355 0.3942
0.9622 0.4904 0.9845
0.0641 0.8350 0.8197
0.1367 0.3387 0.4334
0.2197 0.5456 0.0684
0.2240 0.8812 0.1463
0.2363 0.9526 0.5473
0.3205 0.6483 0.6588
0.3445 0.1897 0.9390
0.4704 0.7042 0.3245
0.5264 0.3007 0.6705
0.6579 0.8153 0.0579
0.6780 0.3589 0.3346
0.7561 0.0532 0.4462
0.7710 0.4612 0.9214
0.7821 0.1268 0.8484
0.8598 0.6657 0.5625
0.9348 0.1709 0.1751
```



(11)
First-principles (GGA-PBE) data for crystalline NbP2HO at its relaxed geometry, as listed in the Alexandria database.

Properties
DOS at the Fermi energy   3.0 states/eV/f.u.
Energy relative to the lowest polymorph listed for this composition   245 meV per atom
Calculated volume   19.201 A^3/atom
Size of the total moment   0.71 μB/cell
Space group   P4/mmm, No. 123

Cell and atoms, written as POSCAR:
```
NbP2HO
1.0
4.9435 0.0000 0.0000
0.0000 4.9435 0.0000
0.0000 0.0000 3.9285
Nb P H O
1 2 1 1
Direct
0.0000 0.0000 0.0000
0.0000 0.5000 0.0000
0.5000 0.0000 0.0000
0.5000 0.5000 0.5000
0.0000 0.0000 0.5000
```



(12)
First-principles (GGA-PBE) data for crystalline NbPHO2 at its relaxed geometry, as listed in the Alexandria database.

Properties
DOS at the Fermi energy   1.1 states/eV/f.u.
Energy relative to the lowest polymorph listed for this composition   0 meV per atom
Calculated volume   16.072 A^3/atom
Size of the total moment   0.89 μB/cell
Space group   P4/mmm, No. 123

Cell and atoms, written as POSCAR:
```
NbPHO2
1.0
3.8742 0.0000 0.0000
0.0000 3.8742 0.0000
0.0000 0.0000 5.3539
Nb P H O
1 1 1 2
Direct
0.0000 0.0000 0.0000
0.0000 0.0000 0.5000
0.5000 0.5000 0.5000
0.0000 0.5000 0.0000
0.5000 0.0000 0.0000
```